# CaSm2Pd4

A relaxed CaSm2Pd4 crystal (PBE, Alexandria via LeMat-Bulk).

a = 5.4004 Å, b = 5.4004 Å, c = 11.0891 Å
α = 90.00°, β = 90.00°, γ = 90.00°
Closest atoms and distances in Å follow each position.
Fractional positions:
Ca: 0.0000 0.0000 0.0000  8 Pd 3.03
Ca: 0.5000 0.5000 0.5000  8 Pd 3.03
Sm: 0.0000 0.0000 0.3111  4 Pd 2.79
Sm: 0.0000 0.0000 0.6889  4 Pd 2.79
Sm: 0.5000 0.5000 0.1889  4 Pd 2.79
Sm: 0.5000 0.5000 0.8111  4 Pd 2.79
Pd: 0.0000 0.5000 0.1248  2 Pd 2.77-2.78, 2 Sm 2.79, 2 Ca 3.03
Pd: 0.0000 0.5000 0.3752  2 Pd 2.77-2.78, 2 Sm 2.79, 2 Ca 3.03
Pd: 0.0000 0.5000 0.6248  2 Pd 2.77-2.78, 2 Sm 2.79, 2 Ca 3.03
Pd: 0.0000 0.5000 0.8752  2 Pd 2.77-2.78, 2 Sm 2.79, 2 Ca 3.03
Pd: 0.5000 0.0000 0.1248  2 Pd 2.77-2.78, 2 Sm 2.79, 2 Ca 3.03
Pd: 0.5000 0.0000 0.3752  2 Pd 2.77-2.78, 2 Sm 2.79, 2 Ca 3.03
Pd: 0.5000 0.0000 0.6248  2 Pd 2.77-2.78, 2 Sm 2.79, 2 Ca 3.03
Pd: 0.5000 0.0000 0.8752  2 Pd 2.77-2.78, 2 Sm 2.79, 2 Ca 3.03

Summary:
Energy   -5.247 eV/atom
SG   I4/mmm (139)
Volume   23.10 Å³ per atom
D(E_F)   0.596 states/eV/atom
Magnetic moment   0.0 Bohr magnetons per cell